# 1
The following is a DFT calculation (PBE) of crystalline Ac2Dy12Er5 at its relaxed geometry.

Cell and atoms, written as extended XYZ:
```
19
Lattice="8.108 -4.602 0.000 8.108 4.602 0.000 -0.107 0.000 8.497" Properties=species:S:1:pos:R:3 pbc="T T T"
Ac 8.108 2.726 0.000
Ac 8.108 -2.726 0.000
Dy 0.913 0.000 2.741
Dy 6.091 2.833 3.078
Dy 5.314 1.686 6.387
Dy 10.020 2.833 5.419
Dy 6.288 0.000 1.014
Dy 10.796 1.686 2.110
Dy 5.314 -1.686 6.387
Dy 9.822 0.000 7.483
Dy 6.091 -2.833 3.078
Dy 10.796 -1.686 2.110
Dy 10.020 -2.833 5.419
Dy 15.197 0.000 5.756
Er 2.988 0.000 8.487
Er 4.182 0.000 3.562
Er 8.055 0.000 4.249
Er 11.928 0.000 4.935
Er 13.123 0.000 0.010
```

Computed properties:
Uncorrected energy = -4.38 eV per atom
Magnetization = 0.00 μB/cell
Energy relative to the elements = 0.161 eV per atom

# 2
The following is a DFT calculation (PBE) of crystalline AgAsC2O6 at its relaxed geometry.

Cell and atoms, written as extended XYZ:
```
20
Lattice="5.038 -4.711 0.000 5.038 4.711 0.000 -4.947 0.000 6.781" Properties=species:S:1:pos:R:3 pbc="T T T"
Ag 1.328 4.412 5.086
Ag 3.802 -4.412 1.695
As 1.328 0.312 5.086
As 3.802 -0.312 1.695
C 1.799 0.993 1.193
C -0.675 -0.993 4.584
C 5.805 0.993 2.197
C 3.331 -0.993 5.588
O -0.629 3.133 5.682
O 2.422 0.302 0.243
O -0.052 -0.302 3.634
O 3.286 3.133 4.489
O 2.537 0.938 2.336
O 5.066 0.938 1.054
O 0.064 -0.938 5.727
O 2.593 -0.938 4.444
O 1.844 -3.133 2.291
O 5.182 0.302 3.147
O 2.708 -0.302 6.538
O 5.759 -3.133 1.099
```

Computed properties:
Uncorrected energy = -6.59 eV per atom
Magnetization = 0.00 μB/cell
Formation energy without anion corrections = -1024 meV per atom

# 3
The following is a DFT calculation (PBE) of crystalline BaReO3 at its relaxed geometry.

Cell and atoms, written as extended XYZ:
```
5
Lattice="4.067 0.000 0.000 0.000 4.067 0.000 0.000 0.000 4.067" Properties=species:S:1:pos:R:3 pbc="T T T"
Ba 0.000 0.000 0.000
Re 2.033 2.033 2.033
O 0.000 2.033 2.033
O 2.033 0.000 2.033
O 2.033 2.033 0.000
```

Computed properties:
Uncorrected energy = -7.79 eV per atom
Magnetization = 0.39 μB/cell
Formation energy without anion corrections = -1941 meV per atom

# 4
The following is a DFT calculation (PBE) of crystalline AlSbI3 at its relaxed geometry.

Cell and atoms, written as extended XYZ:
```
5
Lattice="5.659 0.000 0.000 0.000 5.659 0.000 0.000 0.000 5.659" Properties=species:S:1:pos:R:3 pbc="T T T"
Al 0.000 0.000 0.000
Sb 2.830 2.830 2.830
I 0.000 0.000 2.830
I 0.000 2.830 0.000
I 2.830 0.000 0.000
```

Computed properties:
Uncorrected energy = -2.32 eV per atom
Magnetization = 1.98 μB/cell
Formation energy without anion corrections = 184 meV per atom
Energy above the lowest structure with this stoichiometry = 1.53 kcal/mol of atoms

# 5
The following is a DFT calculation (PBE) of crystalline BaNaCa2 at its relaxed geometry.

Cell and atoms, written as extended XYZ:
```
4
Lattice="5.529 0.000 0.000 0.000 5.529 0.000 0.000 0.000 6.081" Properties=species:S:1:pos:R:3 pbc="T T T"
Ba 0.000 0.000 0.000
Na 2.765 2.765 0.000
Ca 0.000 2.765 3.040
Ca 2.765 0.000 3.040
```

Computed properties:
Uncorrected energy = -1.75 eV per atom
Magnetization = 0.00 μB/cell
Energy above the lowest structure with this stoichiometry = 0.68 kcal/mol of atoms
Energy relative to the elements = 0.065 eV per atom

# 6
The following is a DFT calculation (PBE) of crystalline YErPdPb at its relaxed geometry.

Cell and atoms, written as extended XYZ:
```
4
Lattice="0.000 3.672 3.672 3.672 0.000 3.672 3.672 3.672 0.000" Properties=species:S:1:pos:R:3 pbc="T T T"
Y 0.000 0.000 0.000
Er 3.672 3.672 3.672
Pd 1.836 1.836 1.836
Pb 5.508 5.508 5.508
```

Computed properties:
Uncorrected energy = -5.61 eV per atom
Magnetization = 0.00 μB/cell
Energy relative to the elements = -0.628 eV per atom

# 7
The following is a DFT calculation (PBE) of crystalline Tb3Pm2Os2 at its relaxed geometry.

Cell and atoms, written as extended XYZ:
```
7
Lattice="6.051 -1.987 0.000 6.051 1.987 0.000 -3.463 0.000 7.838" Properties=species:S:1:pos:R:3 pbc="T T T"
Tb 0.000 0.000 0.000
Tb 0.034 0.000 3.345
Tb 8.606 0.000 4.493
Pm 3.404 0.000 1.514
Pm 5.236 0.000 6.324
Os 1.214 0.000 6.104
Os 7.426 0.000 1.734
```

Computed properties:
Uncorrected energy = -6.73 eV per atom
Magnetization = 0.00 μB/cell
Energy relative to the elements = -0.184 eV per atom

# 8
The following is a DFT calculation (PBE) of crystalline Ho2Sn3Pb3S12 at its relaxed geometry.

Cell and atoms, written as extended XYZ:
```
40
Lattice="3.932 0.000 0.000 0.000 20.455 0.000 0.000 0.000 11.652" Properties=species:S:1:pos:R:3 pbc="T T T"
Ho 0.000 1.812 0.000
Ho 0.000 8.033 3.640
Ho 0.000 12.422 9.466
Ho 0.000 18.643 5.826
Sn 1.966 1.436 7.586
Sn 1.966 5.116 1.631
Sn 1.966 8.382 7.220
Sn 1.966 12.073 1.394
Sn 1.966 15.339 7.457
Sn 1.966 19.019 1.760
Pb 0.000 2.491 4.351
Pb 0.000 4.861 8.610
Pb 0.000 8.539 10.840
Pb 0.000 11.916 5.014
Pb 0.000 15.594 2.784
Pb 0.000 17.964 10.177
S 0.000 0.045 8.190
S 0.000 4.831 11.599
S 0.000 5.250 3.398
S 0.000 6.958 6.265
S 0.000 9.859 8.193
S 0.000 10.597 2.367
S 0.000 13.498 0.439
S 0.000 15.205 9.224
S 0.000 15.625 5.773
S 0.000 20.411 2.364
S 1.966 0.161 5.362
S 1.966 2.589 1.888
S 1.966 2.788 9.772
S 1.966 3.567 6.360
S 1.966 6.979 9.347
S 1.966 7.669 1.724
S 1.966 9.546 4.944
S 1.966 10.909 10.770
S 1.966 12.787 7.550
S 1.966 13.477 3.521
S 1.966 16.888 0.534
S 1.966 17.667 3.946
S 1.966 17.866 7.714
S 1.966 20.294 11.188
```

Computed properties:
Uncorrected energy = -4.93 eV per atom
Magnetization = 0.00 μB/cell
Formation energy without anion corrections = -841 meV per atom

# 9
The following is a DFT calculation (PBE) of crystalline KHfMg14O15 at its relaxed geometry.

Cell and atoms, written as extended XYZ:
```
31
Lattice="4.416 0.000 0.000 0.000 8.845 0.000 0.000 0.000 8.657" Properties=species:S:1:pos:R:3 pbc="T T T"
K 0.000 0.000 0.000
Hf 0.000 4.422 8.379
Mg 0.000 0.000 4.037
Mg 0.000 2.107 6.189
Mg 0.000 2.270 2.035
Mg 0.000 4.422 4.128
Mg 0.000 6.575 2.035
Mg 0.000 6.738 6.189
Mg 2.208 0.000 2.032
Mg 2.208 0.000 6.226
Mg 2.208 2.088 8.385
Mg 2.208 2.205 4.104
Mg 2.208 4.422 1.982
Mg 2.208 4.422 6.178
Mg 2.208 6.640 4.104
Mg 2.208 6.757 8.385
O 0.000 0.000 6.054
O 0.000 2.297 4.110
O 0.000 2.397 8.374
O 0.000 4.422 1.955
O 0.000 4.422 6.217
O 0.000 6.447 8.374
O 0.000 6.547 4.110
O 2.208 0.000 4.109
O 2.208 0.000 8.294
O 2.208 2.225 6.244
O 2.208 2.252 1.902
O 2.208 4.422 4.084
O 2.208 4.422 8.389
O 2.208 6.592 1.902
O 2.208 6.619 6.244
```

Computed properties:
Uncorrected energy = -5.87 eV per atom
Magnetization = 0.63 μB/cell
Formation energy without anion corrections = -2395 meV per atom
Energy above the lowest structure with this stoichiometry = 0.13 kcal/mol of atoms

# 10
The following is a DFT calculation (PBE) of crystalline BaLi2TlPt at its relaxed geometry.

Cell and atoms, written as extended XYZ:
```
5
Lattice="5.080 0.000 0.000 0.000 5.080 0.000 0.000 0.000 5.286" Properties=species:S:1:pos:R:3 pbc="T T T"
Ba 0.000 0.000 0.000
Li 0.000 2.540 2.643
Li 2.540 0.000 2.643
Tl 2.540 2.540 0.000
Pt 2.540 2.540 2.643
```

Computed properties:
Uncorrected energy = -3.14 eV per atom
Magnetization = 0.00 μB/cell
Energy relative to the elements = -0.309 eV per atom

# 11
The following is a DFT calculation (PBE) of crystalline AgSb2P at its relaxed geometry.

Cell and atoms, written as extended XYZ:
```
4
Lattice="4.034 0.000 0.000 0.000 4.034 0.000 0.000 0.000 5.669" Properties=species:S:1:pos:R:3 pbc="T T T"
Ag 0.000 0.000 0.000
Sb 0.000 0.000 2.834
Sb 2.017 2.017 0.000
P 2.017 2.017 2.834
```

Computed properties:
Uncorrected energy = -3.97 eV per atom
Magnetization = 0.00 μB/cell
Formation energy without anion corrections = 153 meV per atom

# 12
The following is a DFT calculation (PBE) of crystalline AcBiPb2 at its relaxed geometry.

Cell and atoms, written as extended XYZ:
```
4
Lattice="5.024 0.000 0.000 0.000 5.024 0.000 0.000 0.000 5.202" Properties=species:S:1:pos:R:3 pbc="T T T"
Ac 0.000 0.000 0.000
Bi 2.512 2.512 0.000
Pb 0.000 2.512 2.601
Pb 2.512 0.000 2.601
```

Computed properties:
Uncorrected energy = -4.31 eV per atom
Magnetization = 0.00 μB/cell
Energy above the lowest structure with this stoichiometry = 0.00 kcal/mol of atoms
Energy relative to the elements = -0.454 eV per atom

# 13
The following is a DFT calculation (PBE) of crystalline SrReS2Cl at its relaxed geometry.

Cell and atoms, written as extended XYZ:
```
5
Lattice="5.613 0.000 0.000 0.000 5.613 0.000 0.000 0.000 5.365" Properties=species:S:1:pos:R:3 pbc="T T T"
Sr 0.000 0.000 0.000
Re 2.807 2.807 2.682
S 0.000 2.807 0.000
S 2.807 0.000 0.000
Cl 0.000 0.000 2.682
```

Computed properties:
Uncorrected energy = -4.00 eV per atom
Magnetization = 3.99 μB/cell
Formation energy without anion corrections = 843 meV per atom
Energy above the lowest structure with this stoichiometry = 35.28 kcal/mol of atoms

# 14
The following is a DFT calculation (PBE) of crystalline PuScHg at its relaxed geometry.

Cell and atoms, written as extended XYZ:
```
3
Lattice="5.096 0.000 0.000 -2.548 4.413 0.000 0.000 0.000 3.304" Properties=species:S:1:pos:R:3 pbc="T T T"
Pu 0.000 0.000 0.000
Sc 0.000 2.942 1.647
Hg 2.548 1.471 1.658
```

Computed properties:
Uncorrected energy = -7.03 eV per atom
Magnetization = 6.21 μB/cell
Energy above the lowest structure with this stoichiometry = 1.59 kcal/mol of atoms
Energy relative to the elements = -0.040 eV per atom

# 15
The following is a DFT calculation (PBE) of crystalline Zn2Ru2Au at its relaxed geometry.

Cell and atoms, written as extended XYZ:
```
10
Lattice="7.028 0.000 0.000 0.000 7.028 0.000 0.000 0.000 3.161" Properties=species:S:1:pos:R:3 pbc="T T T"
Zn 1.234 2.280 0.000
Zn 2.280 5.793 0.000
Zn 4.748 1.234 0.000
Zn 5.793 4.748 0.000
Ru 0.850 4.364 1.580
Ru 2.663 0.850 1.580
Ru 4.364 6.177 1.580
Ru 6.177 2.663 1.580
Au 0.000 0.000 1.580
Au 3.514 3.514 1.580
```

Computed properties:
Uncorrected energy = -4.65 eV per atom
Magnetization = 0.00 μB/cell
Energy above the lowest structure with this stoichiometry = 0.00 kcal/mol of atoms
Energy relative to the elements = 0.225 eV per atom

# 16
The following is a DFT calculation (PBE) of crystalline Pm9Y2Tm3 at its relaxed geometry.

Cell and atoms, written as extended XYZ:
```
28
Lattice="9.019 0.000 0.000 -4.510 7.811 0.000 0.000 0.000 13.968" Properties=species:S:1:pos:R:3 pbc="T T T"
Pm -1.435 3.762 3.492
Pm -2.075 5.663 0.592
Pm -2.075 5.663 6.392
Pm 0.643 3.182 0.592
Pm 0.643 3.182 6.392
Pm -0.535 7.173 3.492
Pm 3.077 1.035 7.575
Pm 3.077 1.035 13.376
Pm 2.540 3.123 10.476
Pm 1.969 4.688 3.492
Pm 1.432 6.776 0.592
Pm 1.432 6.776 6.392
Pm 5.044 0.638 10.476
Pm 3.867 4.629 7.575
Pm 3.867 4.629 13.376
Pm 6.585 2.148 7.575
Pm 6.585 2.148 13.376
Pm 5.945 4.049 10.476
Y 0.000 5.207 8.971
Y 0.000 5.207 11.980
Y 4.510 2.604 1.988
Y 4.510 2.604 4.996
Tm -0.435 1.947 10.476
Tm -2.605 7.214 10.476
Tm 1.469 1.351 3.492
Tm 3.041 6.460 10.476
Tm 7.115 0.597 3.492
Tm 4.945 5.864 3.492
```

Computed properties:
Uncorrected energy = -4.69 eV per atom
Magnetization = 0.00 μB/cell
Energy relative to the elements = 0.248 eV per atom